Version i
This record from Alexandria describes a relaxed structure of NiOsC. The functional is PBE.

abc: 5.957 2.777 8.545
angles: 90.00 111.84 90.00
Fractional coordinates of all 12 atoms:
Os  0.307  0.500  0.331
Ni  0.132  0.000  0.069
Ni  0.519  0.000  0.610
C  0.663  0.500  0.521
Os  0.908  0.000  0.280
C  0.779  0.000  0.901
Ni  0.519  0.500  0.110
Os  0.307  0.000  0.831
C  0.663  0.000  0.021
C  0.779  0.500  0.401
Ni  0.132  0.500  0.569
Os  0.908  0.500  0.780

Output
Its space group is Cm (8).

---

Version ii
This record from Alexandria describes a relaxed structure of NiOsC. The functional is PBE.

abc: 12.095 3.909 2.748
angles: 90.00 90.00 90.00
Fractional coordinates of all 12 atoms:
Ni  0.398  0.000  0.500
Os  0.186  0.000  0.500
C  0.059  0.000  0.000
C  0.941  0.000  0.000
C  0.559  0.500  0.500
Os  0.686  0.500  0.000
Os  0.814  0.000  0.500
C  0.441  0.500  0.500
Ni  0.602  0.000  0.500
Os  0.314  0.500  0.000
Ni  0.102  0.500  0.000
Ni  0.898  0.500  0.000

Output
Its space group is Immm (71).

---

Which structure is the most stable? The one labeled version ii.

---

Version i
This record from Alexandria describes a relaxed structure of TbDyHo. The functional is PBE.

abc: 4.998 6.118 7.908
angles: 104.94 108.52 114.07
Fractional coordinates of all 6 atoms:
Ho  0.083  0.750  0.917
Dy  0.583  0.250  0.416
Ho  0.917  0.250  0.083
Tb  0.250  0.250  0.750
Tb  0.750  0.750  0.250
Dy  0.417  0.750  0.584

Output
Its space group is P-1 (2).

---

Version ii
This record from Alexandria describes a relaxed structure of TbDyHo. The functional is PBE.

abc: 5.067 5.067 5.838
angles: 90.00 90.00 120.00
Fractional coordinates of all 3 atoms:
Ho  0.667  0.333  0.000
Dy  0.333  0.667  0.500
Tb  0.667  0.333  0.500

Output
Its space group is P-6m2 (187).

---

Which structure is the most stable? The one labeled version i.